Entry from the Alexandria database: an optimized crystal structure of Li4Ti3V3Ni2O16 (PBE with a Hubbard U).

Values from the calculation:
**Symmetry**: Cm, No. 8
**Total magnetization**: 7.00 μB per cell
**Total energy**: -7.157 eV per atom

Unit cell a=5.898 b=5.898 c=9.717 alpha=89.77 beta=89.77 gamma=60.43
Site moments in Bohr magnetons follow the coordinates.
Fractional positions:
Li (0.339, 0.339, 0.108)  0.00
Ti (0.662, 0.168, 0.785)  0.02
V (0.829, 0.336, 0.291)  1.06
O (0.004, 0.004, 0.187)  0.00
Li (0.001, 0.001, 0.003)  0.00
O (0.000, 0.000, 0.685)  0.01
V (0.336, 0.829, 0.291)  1.06
O (0.686, 0.175, 0.394)  -0.03
O (0.846, 0.316, 0.894)  0.01
Ti (0.168, 0.662, 0.785)  0.02
O (0.166, 0.166, 0.391)  0.01
O (0.039, 0.479, 0.669)  0.02
Ti (0.828, 0.828, 0.271)  0.03
O (0.479, 0.039, 0.669)  0.02
O (0.175, 0.686, 0.394)  -0.03
O (0.840, 0.840, 0.894)  0.02
Li (0.669, 0.669, 0.607)  0.00
O (0.971, 0.519, 0.170)  0.01
O (0.519, 0.971, 0.170)  0.01
O (0.316, 0.846, 0.894)  0.01
Li (0.007, 0.007, 0.502)  0.00
V (0.169, 0.169, 0.787)  1.03
Ni (0.335, 0.335, 0.511)  1.78
O (0.336, 0.336, 0.897)  0.00
O (0.675, 0.675, 0.395)  -0.01
O (0.484, 0.484, 0.671)  0.02
Ni (0.665, 0.665, 0.010)  1.78
O (0.523, 0.523, 0.169)  0.02